Material: YVPt6
Method: DFT, PBE-GGA
State: relaxed

abc: 3.8486 3.8486 9.9198
angles: 90.00 90.00 90.00
Sites, in units of the cell vectors:
Y  0.0000  0.0000  0.0000
V  0.0000  0.0000  0.5000
Pt  0.0000  0.5000  0.3323
Pt  0.0000  0.5000  0.6677
Pt  0.5000  0.0000  0.3323
Pt  0.5000  0.0000  0.6677
Pt  0.5000  0.5000  0.1288
Pt  0.5000  0.5000  0.8712

Magnetization: 0.0 μB per formula unit
Distance to the lowest polymorph of the same formula: 194 meV/atom
Crystal system: tetragonal
Symmetry: P4/mmm (123)

Material: YV2Pt2
Method: DFT, PBE-GGA
State: relaxed

abc: 4.1307 4.1307 11.0077
angles: 90.00 90.00 90.00
Sites, in units of the cell vectors:
Y  0.0000  0.0000  0.0000
Y  0.5000  0.5000  0.5000
V  0.0000  0.5000  0.2500
V  0.0000  0.5000  0.7500
V  0.5000  0.0000  0.2500
V  0.5000  0.0000  0.7500
Pt  0.0000  0.0000  0.3810
Pt  0.0000  0.0000  0.6190
Pt  0.5000  0.5000  0.1190
Pt  0.5000  0.5000  0.8810

Magnetization: 1.7 μB per formula unit
Distance to the lowest polymorph of the same formula: 0 meV/atom
Crystal system: tetragonal
Symmetry: I4/mmm (139)

Material: YV2Pt2
Method: DFT, PBE-GGA
State: relaxed

abc: 7.7444 7.7444 2.8484
angles: 90.00 90.00 90.00
Sites, in units of the cell vectors:
Y  0.0000  0.0000  0.0000
Y  0.5000  0.5000  0.0000
V  0.1660  0.3340  0.5000
V  0.3340  0.8340  0.5000
V  0.6660  0.1660  0.5000
V  0.8340  0.6660  0.5000
Pt  0.1286  0.6286  0.0000
Pt  0.3714  0.1286  0.0000
Pt  0.6286  0.8714  0.0000
Pt  0.8714  0.3714  0.0000

Magnetization: 1.7 μB per formula unit
Distance to the lowest polymorph of the same formula: 163 meV/atom
Crystal system: tetragonal
Symmetry: P4/mbm (127)

Material: Y3VPt12
Method: DFT, PBE-GGA
State: relaxed

abc: 4.0724 4.0724 16.3187
angles: 90.00 90.00 90.00
Sites, in units of the cell vectors:
Y  0.0000  0.0000  0.0000
Y  0.0000  0.0000  0.2540
Y  0.0000  0.0000  0.7460
V  0.0000  0.0000  0.5000
Pt  0.0000  0.5000  0.1283
Pt  0.0000  0.5000  0.3882
Pt  0.0000  0.5000  0.6118
Pt  0.0000  0.5000  0.8717
Pt  0.5000  0.0000  0.1283
Pt  0.5000  0.0000  0.3882
Pt  0.5000  0.0000  0.6118
Pt  0.5000  0.0000  0.8717
Pt  0.5000  0.5000  0.0000
Pt  0.5000  0.5000  0.2584
Pt  0.5000  0.5000  0.5000
Pt  0.5000  0.5000  0.7416

Magnetization: 0.2 μB per formula unit
Crystal system: tetragonal
Symmetry: P4/mmm (123)

Material: YV2Pt2
Method: DFT, PBE-GGA
State: relaxed

abc: 7.7929 7.7929 2.7824
angles: 90.00 90.00 90.00
Sites, in units of the cell vectors:
Y  0.0000  0.0000  0.0000
Y  0.5000  0.5000  0.0000
V  0.1087  0.3913  0.0000
V  0.3913  0.8913  0.0000
V  0.6087  0.1087  0.0000
V  0.8913  0.6087  0.0000
Pt  0.1808  0.6808  0.5000
Pt  0.3192  0.1808  0.5000
Pt  0.6808  0.8192  0.5000
Pt  0.8192  0.3192  0.5000

Magnetization: 0.4 μB per formula unit
Distance to the lowest polymorph of the same formula: 78 meV/atom
Crystal system: tetragonal
Symmetry: P4/mbm (127)

Material: Y2V2Pt
Method: DFT, PBE-GGA
State: relaxed

abc: 6.6113 6.6113 4.7143
angles: 90.00 90.00 90.00
Sites, in units of the cell vectors:
Y  0.1768  0.3232  0.0000
Y  0.3232  0.8232  0.0000
Y  0.6768  0.1768  0.0000
Y  0.8232  0.6768  0.0000
V  0.1260  0.6260  0.5000
V  0.3740  0.1260  0.5000
V  0.6260  0.8740  0.5000
V  0.8740  0.3740  0.5000
Pt  0.0000  0.0000  0.5000
Pt  0.5000  0.5000  0.5000

Magnetization: 2.4 μB per formula unit
Crystal system: tetragonal
Symmetry: P4/mbm (127)

Material: YVPt6
Method: DFT, PBE-GGA
State: relaxed

abc: 4.0188 4.0188 8.0792
angles: 90.00 90.00 90.00
Sites, in units of the cell vectors:
Y  0.0000  0.0000  0.0000
V  0.0000  0.0000  0.5000
Pt  0.0000  0.5000  0.2683
Pt  0.0000  0.5000  0.7317
Pt  0.5000  0.0000  0.2683
Pt  0.5000  0.0000  0.7317
Pt  0.5000  0.5000  0.0000
Pt  0.5000  0.5000  0.5000

Magnetization: 0.7 μB per formula unit
Distance to the lowest polymorph of the same formula: 0 meV/atom
Crystal system: tetragonal
Symmetry: P4/mmm (123)

Material: V2Zn2Pt
Method: DFT, PBE-GGA
State: relaxed

abc: 6.4984 6.4984 3.4269
angles: 90.00 90.00 90.00
Sites, in units of the cell vectors:
V  0.1666  0.3334  0.0000
V  0.3334  0.8334  0.0000
V  0.6666  0.1666  0.0000
V  0.8334  0.6666  0.0000
Zn  0.1320  0.6320  0.5000
Zn  0.3680  0.1320  0.5000
Zn  0.6320  0.8680  0.5000
Zn  0.8680  0.3680  0.5000
Pt  0.0000  0.0000  0.5000
Pt  0.5000  0.5000  0.5000

Magnetization: 1.4 μB per formula unit
Crystal system: tetragonal
Symmetry: P4/mbm (127)

Material: V2ZnPt2
Method: DFT, PBE-GGA
State: relaxed

abc: 7.5135 7.5135 2.7269
angles: 90.00 90.00 90.00
Sites, in units of the cell vectors:
V  0.1675  0.3325  0.0000
V  0.3325  0.8325  0.0000
V  0.6675  0.1675  0.0000
V  0.8325  0.6675  0.0000
Zn  0.0000  0.0000  0.5000
Zn  0.5000  0.5000  0.5000
Pt  0.1297  0.6297  0.5000
Pt  0.3703  0.1297  0.5000
Pt  0.6297  0.8703  0.5000
Pt  0.8703  0.3703  0.5000

Magnetization: 0.0 μB per formula unit
Crystal system: tetragonal
Symmetry: P4/mbm (127)

Material: VZnPt2
Method: DFT, PBE-GGA
State: relaxed

abc: 6.9193 6.9193 5.4759
angles: 90.00 90.00 90.00
Sites, in units of the cell vectors:
V  0.0000  0.0000  0.0000
V  0.0000  0.5000  0.2500
V  0.5000  0.0000  0.7500
V  0.5000  0.5000  0.5000
Zn  0.0000  0.0000  0.5000
Zn  0.0000  0.5000  0.7500
Zn  0.5000  0.0000  0.2500
Zn  0.5000  0.5000  0.0000
Pt  0.2390  0.2500  0.1250
Pt  0.2500  0.7390  0.3750
Pt  0.2500  0.7610  0.8750
Pt  0.2610  0.2500  0.6250
Pt  0.7390  0.7500  0.6250
Pt  0.7500  0.2390  0.8750
Pt  0.7500  0.2610  0.3750
Pt  0.7610  0.7500  0.1250

Magnetization: 1.7 μB per formula unit
Crystal system: tetragonal
Symmetry: I-42d (122)

Material: V3ZnPt
Method: DFT, PBE-GGA
State: relaxed

abc: 4.3987 4.3987 4.3987
angles: 90.00 90.00 90.00
Sites, in units of the cell vectors:
V  0.0000  0.0000  0.5000
V  0.0000  0.5000  0.0000
V  0.5000  0.0000  0.0000
Zn  0.0000  0.0000  0.0000
Pt  0.5000  0.5000  0.5000

Magnetization: 2.7 μB per formula unit
Distance to the lowest polymorph of the same formula: 89 meV/atom
Crystal system: cubic
Symmetry: Pm-3m (221)

Material: VZnPt6
Method: DFT, PBE-GGA
State: relaxed

abc: 3.9282 3.9282 7.8112
angles: 90.00 90.00 90.00
Sites, in units of the cell vectors:
V  0.0000  0.0000  0.0000
Zn  0.0000  0.0000  0.5000
Pt  0.0000  0.5000  0.2431
Pt  0.0000  0.5000  0.7569
Pt  0.5000  0.0000  0.2431
Pt  0.5000  0.0000  0.7569
Pt  0.5000  0.5000  0.0000
Pt  0.5000  0.5000  0.5000

Magnetization: 0.3 μB per formula unit
Crystal system: tetragonal
Symmetry: P4/mmm (123)

| no. | formation energy from the elements (meV per atom) | N(E_F) (states/eV per atom) |
| --- | --- | --- |
| 1 | -526 | 0.63 |
| 2 | -510 | 1.22 |
| 3 | -347 | 0.83 |
| 4 | -860 | 0.75 |
| 5 | -433 | 1.50 |
| 6 | -84 | 1.28 |
| 7 | -720 | 0.66 |
| 8 | 26 | 0.83 |
| 9 | -325 | 0.62 |
| 10 | -35 | 1.28 |
| 11 | 1154 | 1.68 |
| 12 | -453 | 0.99 |